(1)
# MnAgAs2 meta-GGA SCAN single point on PBEsol structure
# Total moment, μB/cell: 0.00
# Formation energy, meV/atom: 112
# Density of states at the Fermi level, states/eV per atom: 0.25
data_MnAgAs2
_chemical_formula_sum 'Mn1 Ag1 As2'
_space_group_name_H-M_alt 'P 1'
_space_group_IT_number 1
_cell_length_a 2.896
_cell_length_b 2.896
_cell_length_c 7.327
_cell_angle_alpha 90.00
_cell_angle_beta 90.00
_cell_angle_gamma 90.00
loop_
_space_group_symop_operation_xyz
'x,y,z'
loop_
_atom_site_label
_atom_site_type_symbol
_atom_site_fract_x
_atom_site_fract_y
_atom_site_fract_z
_atom_site_occupancy
Mn1 Mn 0.000 0.000 0.000 1
Ag1 Ag 0.000 0.000 0.500 1
As1 As 0.500 0.500 0.197 1
As2 As 0.500 0.500 0.803 1

(2)
# AgMo4As meta-GGA SCAN single point on PBEsol structure
# Total moment, μB/cell: 0.00
# Formation energy, meV/atom: 700
# Density of states at the Fermi level, states/eV per atom: 0.73
data_AgMo4As
_chemical_formula_sum 'Ag1 Mo4 As1'
_space_group_name_H-M_alt 'P 1'
_space_group_IT_number 1
_cell_length_a 5.190
_cell_length_b 5.190
_cell_length_c 5.190
_cell_angle_alpha 60.00
_cell_angle_beta 60.00
_cell_angle_gamma 60.00
loop_
_space_group_symop_operation_xyz
'x,y,z'
loop_
_atom_site_label
_atom_site_type_symbol
_atom_site_fract_x
_atom_site_fract_y
_atom_site_fract_z
_atom_site_occupancy
Ag1 Ag 0.000 0.000 0.000 1
Mo1 Mo 0.119 0.627 0.627 1
Mo2 Mo 0.627 0.119 0.627 1
Mo3 Mo 0.627 0.627 0.119 1
Mo4 Mo 0.627 0.627 0.627 1
As1 As 0.250 0.250 0.250 1

(3)
# Ag2MoAs meta-GGA SCAN single point on PBEsol structure
# Total moment, μB/cell: 0.00
# Formation energy, meV/atom: 407
# Density of states at the Fermi level, states/eV per atom: 0.59
data_Ag2MoAs
_chemical_formula_sum 'Ag6 Mo3 As3'
_space_group_name_H-M_alt 'P 1'
_space_group_IT_number 1
_cell_length_a 2.833
_cell_length_b 2.833
_cell_length_c 28.412
_cell_angle_alpha 90.00
_cell_angle_beta 90.00
_cell_angle_gamma 120.00
loop_
_space_group_symop_operation_xyz
'x,y,z'
loop_
_atom_site_label
_atom_site_type_symbol
_atom_site_fract_x
_atom_site_fract_y
_atom_site_fract_z
_atom_site_occupancy
Ag1 Ag 0.000 0.000 0.249 1
Ag2 Ag 0.000 0.000 0.751 1
Ag3 Ag 0.333 0.667 0.417 1
Ag4 Ag 0.333 0.667 0.916 1
Ag5 Ag 0.667 0.333 0.084 1
Ag6 Ag 0.667 0.333 0.583 1
Mo1 Mo 0.000 0.000 0.500 1
Mo2 Mo 0.333 0.667 0.167 1
Mo3 Mo 0.667 0.333 0.833 1
As1 As 0.000 0.000 0.000 1
As2 As 0.333 0.667 0.667 1
As3 As 0.667 0.333 0.333 1

(4)
# AgMoAs meta-GGA SCAN single point on PBEsol structure
# Total moment, μB/cell: 0.00
# Formation energy, meV/atom: 298
# Density of states at the Fermi level, states/eV per atom: 0.53
data_AgMoAs
_chemical_formula_sum 'Ag2 Mo2 As2'
_space_group_name_H-M_alt 'P 1'
_space_group_IT_number 1
_cell_length_a 3.145
_cell_length_b 3.145
_cell_length_c 9.870
_cell_angle_alpha 90.00
_cell_angle_beta 90.00
_cell_angle_gamma 90.00
loop_
_space_group_symop_operation_xyz
'x,y,z'
loop_
_atom_site_label
_atom_site_type_symbol
_atom_site_fract_x
_atom_site_fract_y
_atom_site_fract_z
_atom_site_occupancy
Ag1 Ag 0.000 0.000 0.000 1
Ag2 Ag 0.500 0.500 0.500 1
Mo1 Mo 0.000 0.000 0.308 1
Mo2 Mo 0.500 0.500 0.808 1
As1 As 0.000 0.000 0.685 1
As2 As 0.500 0.500 0.185 1

(5)
# Ag2MoAs meta-GGA SCAN single point on PBEsol structure
# Total moment, μB/cell: 0.00
# Formation energy, meV/atom: 502
# Density of states at the Fermi level, states/eV per atom: 0.67
data_Ag2MoAs
_chemical_formula_sum 'Ag4 Mo2 As2'
_space_group_name_H-M_alt 'P 1'
_space_group_IT_number 1
_cell_length_a 3.713
_cell_length_b 3.713
_cell_length_c 9.509
_cell_angle_alpha 90.00
_cell_angle_beta 90.00
_cell_angle_gamma 90.00
loop_
_space_group_symop_operation_xyz
'x,y,z'
loop_
_atom_site_label
_atom_site_type_symbol
_atom_site_fract_x
_atom_site_fract_y
_atom_site_fract_z
_atom_site_occupancy
Ag1 Ag 0.000 0.500 0.250 1
Ag2 Ag 0.000 0.500 0.750 1
Ag3 Ag 0.500 0.000 0.250 1
Ag4 Ag 0.500 0.000 0.750 1
Mo1 Mo 0.000 0.000 0.000 1
Mo2 Mo 0.500 0.500 0.500 1
As1 As 0.000 0.000 0.500 1
As2 As 0.500 0.500 0.000 1

(6)
# AgAsNO2 meta-GGA SCAN single point on PBEsol structure
# Total moment, μB/cell: 0.28
# Formation energy from raw total energies, meV/atom: 1097
# Density of states at the Fermi level, states/eV per atom: 0.31
data_AgAsNO2
_chemical_formula_sum 'Ag1 As1 N1 O2'
_space_group_name_H-M_alt 'P 1'
_space_group_IT_number 1
_cell_length_a 3.890
_cell_length_b 3.890
_cell_length_c 4.002
_cell_angle_alpha 90.00
_cell_angle_beta 90.00
_cell_angle_gamma 90.00
loop_
_space_group_symop_operation_xyz
'x,y,z'
loop_
_atom_site_label
_atom_site_type_symbol
_atom_site_fract_x
_atom_site_fract_y
_atom_site_fract_z
_atom_site_occupancy
Ag1 Ag 0.000 0.000 0.000 1
As1 As 0.500 0.500 0.500 1
N1 N 0.000 0.000 0.500 1
O1 O 0.000 0.500 0.000 1
O2 O 0.500 0.000 0.000 1

(7)
# AgAsSeN2 meta-GGA SCAN single point on PBEsol structure
# Total moment, μB/cell: 2.98
# Formation energy from raw total energies, meV/atom: 1740
# Density of states at the Fermi level, states/eV per atom: 0.38
data_AgAsSeN2
_chemical_formula_sum 'Ag1 As1 Se1 N2'
_space_group_name_H-M_alt 'P 1'
_space_group_IT_number 1
_cell_length_a 3.993
_cell_length_b 3.993
_cell_length_c 5.324
_cell_angle_alpha 90.00
_cell_angle_beta 90.00
_cell_angle_gamma 90.00
loop_
_space_group_symop_operation_xyz
'x,y,z'
loop_
_atom_site_label
_atom_site_type_symbol
_atom_site_fract_x
_atom_site_fract_y
_atom_site_fract_z
_atom_site_occupancy
Ag1 Ag 0.000 0.000 0.000 1
As1 As 0.500 0.500 0.500 1
Se1 Se 0.000 0.000 0.500 1
N1 N 0.000 0.500 0.000 1
N2 N 0.500 0.000 0.000 1

(8)
# AgTeAsN2 meta-GGA SCAN single point on PBEsol structure
# Total moment, μB/cell: 3.96
# Formation energy from raw total energies, meV/atom: 1665
# Density of states at the Fermi level, states/eV per atom: 0.41
data_AgTeAsN2
_chemical_formula_sum 'Ag1 Te1 As1 N2'
_space_group_name_H-M_alt 'P 1'
_space_group_IT_number 1
_cell_length_a 4.014
_cell_length_b 4.014
_cell_length_c 6.122
_cell_angle_alpha 90.00
_cell_angle_beta 90.00
_cell_angle_gamma 90.00
loop_
_space_group_symop_operation_xyz
'x,y,z'
loop_
_atom_site_label
_atom_site_type_symbol
_atom_site_fract_x
_atom_site_fract_y
_atom_site_fract_z
_atom_site_occupancy
Ag1 Ag 0.000 0.000 0.000 1
Te1 Te 0.000 0.000 0.500 1
As1 As 0.500 0.500 0.500 1
N1 N 0.000 0.500 0.000 1
N2 N 0.500 0.000 0.000 1

(9)
# NaAgAs2 meta-GGA SCAN single point on PBEsol structure
# Total moment, μB/cell: 0.00
# Formation energy, meV/atom: 96
# Density of states at the Fermi level, states/eV per atom: 0.42
data_NaAgAs2
_chemical_formula_sum 'Na4 Ag4 As8'
_space_group_name_H-M_alt 'P 1'
_space_group_IT_number 1
_cell_length_a 6.688
_cell_length_b 6.688
_cell_length_c 6.688
_cell_angle_alpha 90.00
_cell_angle_beta 90.00
_cell_angle_gamma 90.00
loop_
_space_group_symop_operation_xyz
'x,y,z'
loop_
_atom_site_label
_atom_site_type_symbol
_atom_site_fract_x
_atom_site_fract_y
_atom_site_fract_z
_atom_site_occupancy
Na1 Na 0.000 0.000 0.000 1
Na2 Na 0.000 0.500 0.500 1
Na3 Na 0.500 0.000 0.500 1
Na4 Na 0.500 0.500 0.000 1
Ag1 Ag 0.000 0.000 0.500 1
Ag2 Ag 0.000 0.500 0.000 1
Ag3 Ag 0.500 0.000 0.000 1
Ag4 Ag 0.500 0.500 0.500 1
As1 As 0.250 0.250 0.250 1
As2 As 0.250 0.250 0.750 1
As3 As 0.250 0.750 0.250 1
As4 As 0.250 0.750 0.750 1
As5 As 0.750 0.250 0.250 1
As6 As 0.750 0.250 0.750 1
As7 As 0.750 0.750 0.250 1
As8 As 0.750 0.750 0.750 1

(10)
# NaAg2As2 meta-GGA SCAN single point on PBEsol structure
# Total moment, μB/cell: 0.00
# Formation energy, meV/atom: -181
# Density of states at the Fermi level, states/eV per atom: 0.22
data_NaAg2As2
_chemical_formula_sum 'Na2 Ag4 As4'
_space_group_name_H-M_alt 'P 1'
_space_group_IT_number 1
_cell_length_a 4.342
_cell_length_b 4.342
_cell_length_c 10.893
_cell_angle_alpha 90.00
_cell_angle_beta 90.00
_cell_angle_gamma 90.00
loop_
_space_group_symop_operation_xyz
'x,y,z'
loop_
_atom_site_label
_atom_site_type_symbol
_atom_site_fract_x
_atom_site_fract_y
_atom_site_fract_z
_atom_site_occupancy
Na1 Na 0.000 0.000 0.000 1
Na2 Na 0.500 0.500 0.500 1
Ag1 Ag 0.000 0.500 0.250 1
Ag2 Ag 0.000 0.500 0.750 1
Ag3 Ag 0.500 0.000 0.250 1
Ag4 Ag 0.500 0.000 0.750 1
As1 As 0.000 0.000 0.389 1
As2 As 0.000 0.000 0.611 1
As3 As 0.500 0.500 0.111 1
As4 As 0.500 0.500 0.889 1

(11)
# Na2AgAs meta-GGA SCAN single point on PBEsol structure
# Total moment, μB/cell: 0.00
# Formation energy, meV/atom: -463
data_Na2AgAs
_chemical_formula_sum 'Na8 Ag4 As4'
_space_group_name_H-M_alt 'P 1'
_space_group_IT_number 1
_cell_length_a 8.792
_cell_length_b 7.293
_cell_length_c 5.574
_cell_angle_alpha 90.00
_cell_angle_beta 90.00
_cell_angle_gamma 90.00
loop_
_space_group_symop_operation_xyz
'x,y,z'
loop_
_atom_site_label
_atom_site_type_symbol
_atom_site_fract_x
_atom_site_fract_y
_atom_site_fract_z
_atom_site_occupancy
Na1 Na 0.177 0.147 0.250 1
Na2 Na 0.177 0.853 0.750 1
Na3 Na 0.323 0.353 0.750 1
Na4 Na 0.323 0.647 0.250 1
Na5 Na 0.677 0.353 0.750 1
Na6 Na 0.677 0.647 0.250 1
Na7 Na 0.823 0.147 0.250 1
Na8 Na 0.823 0.853 0.750 1
Ag1 Ag 0.000 0.500 0.000 1
Ag2 Ag 0.000 0.500 0.500 1
Ag3 Ag 0.500 0.000 0.000 1
Ag4 Ag 0.500 0.000 0.500 1
As1 As 0.000 0.212 0.750 1
As2 As 0.000 0.788 0.250 1
As3 As 0.500 0.288 0.250 1
As4 As 0.500 0.712 0.750 1

(12)
# NaAgAsSe2 meta-GGA SCAN single point on PBEsol structure
# Total moment, μB/cell: 0.66
# Formation energy from raw total energies, meV/atom: 210
# Density of states at the Fermi level, states/eV per atom: 0.69
data_NaAgAsSe2
_chemical_formula_sum 'Na1 Ag1 As1 Se2'
_space_group_name_H-M_alt 'P 1'
_space_group_IT_number 1
_cell_length_a 5.172
_cell_length_b 5.172
_cell_length_c 4.829
_cell_angle_alpha 90.00
_cell_angle_beta 90.00
_cell_angle_gamma 90.00
loop_
_space_group_symop_operation_xyz
'x,y,z'
loop_
_atom_site_label
_atom_site_type_symbol
_atom_site_fract_x
_atom_site_fract_y
_atom_site_fract_z
_atom_site_occupancy
Na1 Na 0.000 0.000 0.000 1
Ag1 Ag 0.500 0.500 0.500 1
As1 As 0.500 0.500 0.000 1
Se1 Se 0.000 0.500 0.500 1
Se2 Se 0.500 0.000 0.500 1